(1)
Material: TcRh
Method: DFT, PBE
State: relaxed

Structure (extended XYZ):
```
6
Lattice="4.976 -1.364 0.000 4.976 1.364 0.000 -1.551 0.000 6.298" Properties=species:S:1:pos:R:3 pbc="T T T"
Tc 0.000 0.000 0.000
Tc -0.383 0.000 3.867
Tc 3.427 0.000 1.764
Rh 2.332 0.000 4.220
Rh 6.093 0.000 2.101
Rh 5.711 0.000 5.965
```

space-group type: Cm (8)

(2)
Material: TbTlSn
Method: DFT, PBE
State: relaxed

Structure (extended XYZ):
```
3
Lattice="-1.900 1.900 5.698 1.900 -1.900 5.698 1.900 1.900 -5.698" Properties=species:S:1:pos:R:3 pbc="T T T"
Tb 0.000 0.000 0.000
Tl 0.000 0.000 3.680
Sn 0.000 0.000 7.650
```

space-group type: I4mm (107)

(3)
Material: MgFe3Hg
Method: DFT, PBE
State: relaxed

Structure (extended XYZ):
```
5
Lattice="4.854 0.000 0.000 0.000 4.854 0.000 0.000 0.000 4.854" Properties=species:S:1:pos:R:3 pbc="T T T"
Mg 0.000 0.000 0.000
Fe 0.000 2.427 2.427
Fe 2.427 0.000 2.427
Fe 2.427 2.427 0.000
Hg 2.427 2.427 2.427
```

space-group type: Pm-3m (221)

(4)
Material: BaPuPt2
Method: DFT, PBE
State: relaxed

Structure (extended XYZ):
```
4
Lattice="2.133 1.231 7.292 -2.133 1.231 7.292 0.000 -2.463 7.292" Properties=species:S:1:pos:R:3 pbc="T T T"
Ba 0.000 0.000 0.000
Pu 0.000 0.000 3.773
Pt 0.000 0.000 12.453
Pt 0.000 0.000 16.952
```

space-group type: R3m (160)

Calculated values (eV/atom) of energy of formation for the records, taken in order: -0.128; -0.242; 1.401; -0.629.